Record 1
A plane-wave DFT calculation with PBE was carried out for a geometry-optimized Na2CrOs2 structure.

Properties
space group = P4/mbm
calculated formation energy = 1.528 eV/atom

POSCAR file:
```
Na2CrOs2
1.0
-4.986 1.149 6.655
-6.093 -4.331 -3.818
0.880 -2.146 1.030
Os Cr Na
4 2 4
Direct
0.305 0.195 0.500
0.805 0.305 0.500
0.695 0.805 0.500
0.195 0.695 0.500
0.000 0.000 0.000
0.500 0.500 0.000
0.604 0.104 0.000
0.104 0.396 0.000
0.396 0.896 0.000
0.896 0.604 0.000
```

=====

Record 2
A plane-wave DFT calculation with PBE was carried out for a geometry-optimized MgSnHSe structure.

Properties
space group = P1

POSCAR file:
```
MgSnHSe
1.0
3.214 0.037 0.000
-1.551 3.506 -0.005
-0.051 -0.293 8.101
Se H Mg Sn
1 1 1 1
Direct
0.952 0.134 0.846
0.660 0.521 0.532
0.271 0.743 0.024
0.621 0.440 0.319
```

=====

What spin magnetization values result from the calculations? In sequence: 0.5287 0.0000 μB/atom.
What energy values result from the calculations? In sequence: -0.398 -0.238 Ry/atom.
What N(E_F) values result from the calculations? In sequence: 13.17 1.11 states/eV per cell.